1.
The following is a PBE calculation of NiP2PdCl after structural relaxation, from Alexandria.

```
NiP2PdCl
1.0
4.612 0.000 0.000
0.000 4.612 0.000
0.000 0.000 4.926
P Cl Pd Ni
2 1 1 1
Direct
0.500 0.000 0.000
0.000 0.500 0.000
0.000 0.000 0.500
0.000 0.000 0.000
0.500 0.500 0.500
```

Properties
Its uncorrected formation energy is 0.946 eV per atom. Its energy relative to the lowest polymorph listed for this composition is 40.9 kJ per mole of atoms. For the total DFT energy (no corrections), the calculation gives -3.783 eV/atom.

=====

2.
The following is a PBE calculation of Pm4NiPCl2 after structural relaxation, from Alexandria.

```
Pm4NiPCl2
1.0
-3.529 0.521 1.749
0.858 -6.265 3.597
2.822 5.333 4.106
Cl Ni Pm P
2 1 4 1
Direct
0.500 0.000 0.500
0.000 0.500 0.500
0.000 0.000 0.000
0.500 0.777 0.789
0.000 0.739 0.222
0.000 0.261 0.778
0.500 0.223 0.211
0.500 0.500 0.000
```

Properties
Its uncorrected formation energy is -1.231 eV per atom. For the total DFT energy (no corrections), the calculation gives -5.467 eV/atom.

=====

3.
The following is a PBE calculation of Pm6NiP2Cl3 after structural relaxation, from Alexandria.

```
Pm6NiP2Cl3
1.0
-2.190 3.345 0.090
-4.189 -2.553 -7.019
-3.786 -5.056 6.922
P Pm Cl Ni
2 6 3 1
Direct
0.167 0.333 0.333
0.833 0.667 0.667
0.005 0.218 0.010
0.340 0.898 0.679
0.675 0.563 0.349
0.660 0.102 0.321
0.325 0.437 0.651
0.995 0.782 0.990
0.168 0.828 0.335
0.832 0.172 0.665
0.500 0.500 0.000
0.500 0.000 0.000
```

Properties
Its uncorrected formation energy is -1.358 eV per atom. For the total DFT energy (no corrections), the calculation gives -5.578 eV/atom.

=====

4.
The following is a PBE calculation of Pr6Ni2PCl3 after structural relaxation, from Alexandria.

```
Pr6Ni2PCl3
1.0
-0.720 1.601 -6.935
-3.452 -5.651 2.707
-4.227 5.524 2.957
Ni Pr P Cl
2 6 1 3
Direct
0.668 0.332 0.000
0.332 0.668 0.000
0.416 0.072 0.215
0.584 0.928 0.785
0.072 0.416 0.215
0.274 0.274 0.789
0.928 0.584 0.785
0.726 0.726 0.211
0.000 0.000 0.000
0.500 0.500 0.500
0.158 0.842 0.500
0.842 0.158 0.500
```

Properties
Its uncorrected formation energy is -1.105 eV per atom. For the total DFT energy (no corrections), the calculation gives -5.370 eV/atom.

=====

5.
The following is a PBE calculation of Pr4NiPCl2 after structural relaxation, from Alexandria.

```
Pr4NiPCl2
1.0
4.033 0.000 0.000
0.000 7.388 0.224
0.000 -2.488 6.986
Pr Ni Cl P
4 1 2 1
Direct
0.000 0.738 0.224
0.500 0.776 0.787
0.000 0.262 0.776
0.500 0.224 0.213
0.000 0.000 0.000
0.000 0.500 0.500
0.500 0.000 0.500
0.500 0.500 0.000
```

Properties
Its uncorrected formation energy is -1.227 eV per atom. For the total DFT energy (no corrections), the calculation gives -5.477 eV/atom.

=====

6.
The following is a PBE calculation of Pr6NiP2Cl3 after structural relaxation, from Alexandria.

```
Pr6NiP2Cl3
1.0
-0.588 0.933 -3.900
0.579 -8.418 -2.101
-8.759 0.930 3.649
Cl Pr P Ni
3 6 2 1
Direct
0.835 0.173 0.670
0.165 0.827 0.330
0.500 0.500 0.000
0.674 0.563 0.348
0.994 0.782 0.989
0.338 0.899 0.675
0.006 0.218 0.011
0.662 0.101 0.325
0.326 0.437 0.652
0.167 0.332 0.334
0.833 0.668 0.666
0.500 0.000 0.000
```

Properties
Its uncorrected formation energy is -1.356 eV per atom. For the total DFT energy (no corrections), the calculation gives -5.591 eV/atom.

=====

7.
The following is a PBE calculation of NiPPtCl2 after structural relaxation, from Alexandria.

```
NiPPtCl2
1.0
-4.078 2.828 -0.679
-1.534 -3.084 -3.636
-2.238 -2.492 3.058
Cl P Ni Pt
2 1 1 1
Direct
0.500 0.000 0.000
0.000 0.500 0.000
0.000 0.000 0.500
0.500 0.500 0.500
0.000 0.000 0.000
```

Properties
Its uncorrected formation energy is 0.728 eV per atom. Its energy relative to the lowest polymorph listed for this composition is 8.9 kJ per mole of atoms. For the total DFT energy (no corrections), the calculation gives -3.457 eV/atom.

=====

8.
The following is a PBE calculation of NiPPtCl2 after structural relaxation, from Alexandria.

```
NiPPtCl2
1.0
-0.519 -1.027 -4.241
1.018 -4.181 0.888
-4.588 -0.950 0.791
Ni P Cl Pt
1 1 2 1
Direct
0.000 0.000 0.000
0.000 0.000 0.500
0.000 0.500 0.000
0.500 0.000 0.000
0.500 0.500 0.500
```

Properties
Its uncorrected formation energy is 0.636 eV per atom. Its energy relative to the lowest polymorph listed for this composition is 0.0 kJ per mole of atoms. For the total DFT energy (no corrections), the calculation gives -3.549 eV/atom.

=====

9.
The following is a PBE calculation of RbNiP2Cl after structural relaxation, from Alexandria.

```
RbNiP2Cl
1.0
-1.733 2.274 3.168
-1.886 -3.523 1.498
6.983 -1.620 4.982
Ni Rb P Cl
1 1 2 1
Direct
0.000 0.000 0.000
0.500 0.500 0.500
0.000 0.500 0.000
0.500 0.000 0.000
0.000 0.000 0.500
```

Properties
Its uncorrected formation energy is -0.271 eV per atom. Its energy relative to the lowest polymorph listed for this composition is 0.0 kJ per mole of atoms. For the total DFT energy (no corrections), the calculation gives -4.154 eV/atom.

=====

10.
The following is a PBE calculation of Rb2NiPCl6 after structural relaxation, from Alexandria.

```
Rb2NiPCl6
1.0
-0.586 -7.132 -0.713
6.073 -0.874 3.753
0.336 -4.191 5.372
Rb Cl P Ni
2 6 1 1
Direct
0.750 0.250 0.500
0.250 0.750 0.500
0.748 0.748 0.000
0.244 0.244 0.511
0.748 0.252 0.000
0.252 0.252 0.000
0.252 0.748 0.000
0.756 0.756 0.489
0.500 0.500 0.000
0.000 0.000 0.000
```

Properties
Its uncorrected formation energy is -0.972 eV per atom. For the total DFT energy (no corrections), the calculation gives -3.393 eV/atom.

=====

11.
The following is a PBE calculation of RbNiP2Cl after structural relaxation, from Alexandria.

```
RbNiP2Cl
1.0
6.651 0.000 0.000
0.000 6.651 0.000
0.000 0.000 5.805
Cl P Ni Rb
1 2 1 1
Direct
0.000 0.000 0.500
0.500 0.000 0.000
0.000 0.500 0.000
0.500 0.500 0.500
0.000 0.000 0.000
```

Properties
Its uncorrected formation energy is 1.714 eV per atom. Its energy relative to the lowest polymorph listed for this composition is 191.4 kJ per mole of atoms. For the total DFT energy (no corrections), the calculation gives -2.169 eV/atom.

=====

12.
The following is a PBE calculation of RbNiPCl2 after structural relaxation, from Alexandria.

```
RbNiPCl2
1.0
5.303 0.000 0.000
0.000 5.303 0.000
0.000 0.000 4.225
Ni P Rb Cl
1 1 1 2
Direct
0.000 0.000 0.000
0.000 0.000 0.500
0.500 0.500 0.500
0.000 0.500 0.000
0.500 0.000 0.000
```

Properties
Its uncorrected formation energy is -0.519 eV per atom. For the total DFT energy (no corrections), the calculation gives -3.689 eV/atom.

=====

13.
The following is a PBE calculation of ReNiP2Cl after structural relaxation, from Alexandria.

```
ReNiP2Cl
1.0
-1.237 -0.287 4.343
-3.448 -2.690 -1.160
3.033 -4.142 0.590
P Ni Re Cl
2 1 1 1
Direct
0.000 0.500 0.000
0.500 0.000 0.000
0.500 0.500 0.500
0.000 0.000 0.000
0.000 0.000 0.500
```

Properties
Its uncorrected formation energy is 0.867 eV per atom. Its energy relative to the lowest polymorph listed for this composition is 0.0 kJ per mole of atoms. For the total DFT energy (no corrections), the calculation gives -5.312 eV/atom.

=====

14.
The following is a PBE calculation of ReNiPCl2 after structural relaxation, from Alexandria.

```
ReNiPCl2
1.0
-1.555 -3.733 2.656
4.224 -0.080 2.360
-1.689 2.925 3.123
P Cl Re Ni
1 2 1 1
Direct
0.000 0.000 0.500
0.500 0.000 0.000
0.000 0.500 0.000
0.000 0.000 0.000
0.500 0.500 0.500
```

Properties
Its uncorrected formation energy is 0.876 eV per atom. Its energy relative to the lowest polymorph listed for this composition is 0.0 kJ per mole of atoms. For the total DFT energy (no corrections), the calculation gives -4.590 eV/atom.

=====

15.
The following is a PBE calculation of ReNiPCl2 after structural relaxation, from Alexandria.

```
ReNiPCl2
1.0
4.356 0.000 0.000
0.000 4.356 0.000
0.000 0.000 5.041
Ni Cl P Re
1 2 1 1
Direct
0.000 0.000 0.000
0.500 0.000 0.000
0.000 0.500 0.000
0.000 0.000 0.500
0.500 0.500 0.500
```

Properties
Its uncorrected formation energy is 1.001 eV per atom. Its energy relative to the lowest polymorph listed for this composition is 12.1 kJ per mole of atoms. For the total DFT energy (no corrections), the calculation gives -4.465 eV/atom.

=====

16.
The following is a PBE calculation of ReNiP2Cl after structural relaxation, from Alexandria.

```
ReNiP2Cl
1.0
-2.224 -0.316 -3.686
-3.312 -1.747 2.148
-1.662 3.967 0.663
Re Cl P Ni
1 1 2 1
Direct
0.500 0.500 0.500
0.000 0.000 0.500
0.500 0.000 0.000
0.000 0.500 0.000
0.000 0.000 0.000
```

Properties
Its uncorrected formation energy is 1.212 eV per atom. Its energy relative to the lowest polymorph listed for this composition is 33.3 kJ per mole of atoms. For the total DFT energy (no corrections), the calculation gives -4.967 eV/atom.

=====

17.
The following is a PBE calculation of NiPRhCl2 after structural relaxation, from Alexandria.

```
NiPRhCl2
1.0
-1.563 4.539 1.264
-3.773 -2.004 2.529
2.508 -0.146 3.626
Rh Ni P Cl
1 1 1 2
Direct
0.000 0.000 0.000
0.500 0.500 0.500
0.000 0.000 0.500
0.000 0.500 0.000
0.500 0.000 0.000
```

Properties
Its uncorrected formation energy is 0.597 eV per atom. Its energy relative to the lowest polymorph listed for this composition is 0.0 kJ per mole of atoms. For the total DFT energy (no corrections), the calculation gives -3.850 eV/atom.

=====

18.
The following is a PBE calculation of NiPRhCl2 after structural relaxation, from Alexandria.

```
NiPRhCl2
1.0
-2.010 -2.210 3.405
2.618 -3.610 -0.797
3.060 1.592 2.839
Rh Cl P Ni
1 2 1 1
Direct
0.500 0.500 0.500
0.500 0.000 0.000
0.000 0.500 0.000
0.000 0.000 0.500
0.000 0.000 0.000
```

Properties
Its uncorrected formation energy is 0.620 eV per atom. Its energy relative to the lowest polymorph listed for this composition is 2.2 kJ per mole of atoms. For the total DFT energy (no corrections), the calculation gives -3.827 eV/atom.

=====

19.
The following is a PBE calculation of NiPRuCl2 after structural relaxation, from Alexandria.

```
NiPRuCl2
1.0
-0.581 2.036 -3.953
0.442 -3.941 -2.095
-4.579 -0.684 0.321
Cl P Ni Ru
2 1 1 1
Direct
0.500 0.000 0.000
0.000 0.500 0.000
0.000 0.000 0.500
0.000 0.000 0.000
0.500 0.500 0.500
```

Properties
Its uncorrected formation energy is 0.785 eV per atom. Its energy relative to the lowest polymorph listed for this composition is 10.2 kJ per mole of atoms. For the total DFT energy (no corrections), the calculation gives -4.047 eV/atom.

=====

20.
The following is a PBE calculation of NiPRuCl2 after structural relaxation, from Alexandria.

```
NiPRuCl2
1.0
4.903 0.000 0.000
0.000 4.903 0.000
0.000 0.000 4.437
Cl Ni Ru P
2 1 1 1
Direct
0.500 0.000 0.000
0.000 0.500 0.000
0.500 0.500 0.500
0.000 0.000 0.000
0.000 0.000 0.500
```

Properties
Its uncorrected formation energy is 0.679 eV per atom. Its energy relative to the lowest polymorph listed for this composition is 0.0 kJ per mole of atoms. For the total DFT energy (no corrections), the calculation gives -4.153 eV/atom.

=====

21.
The following is a PBE calculation of NiP2RuCl after structural relaxation, from Alexandria.

```
NiP2RuCl
1.0
-2.420 -3.056 -1.906
3.355 -2.747 0.144
-1.377 -1.467 4.102
Ru P Ni Cl
1 2 1 1
Direct
0.500 0.500 0.500
0.000 0.500 0.000
0.500 0.000 0.000
0.000 0.000 0.000
0.000 0.000 0.500
```

Properties
Its uncorrected formation energy is 0.883 eV per atom. Its energy relative to the lowest polymorph listed for this composition is 10.1 kJ per mole of atoms. For the total DFT energy (no corrections), the calculation gives -4.662 eV/atom.

=====

22.
The following is a PBE calculation of NiP2RuCl after structural relaxation, from Alexandria.

```
NiP2RuCl
1.0
-2.930 -1.305 -3.122
3.246 -2.251 -2.105
-1.073 -4.087 2.716
Cl P Ru Ni
1 2 1 1
Direct
0.000 0.000 0.500
0.500 0.000 0.000
0.000 0.500 0.000
0.000 0.000 0.000
0.500 0.500 0.500
```

Properties
Its uncorrected formation energy is 0.778 eV per atom. Its energy relative to the lowest polymorph listed for this composition is 0.0 kJ per mole of atoms. For the total DFT energy (no corrections), the calculation gives -4.767 eV/atom.

=====

23.
The following is a PBE calculation of NiP2SCl after structural relaxation, from Alexandria.

```
NiP2SCl
1.0
4.512 0.000 0.000
0.000 4.512 0.000
0.000 0.000 4.399
P Cl S Ni
2 1 1 1
Direct
0.500 0.000 0.000
0.000 0.500 0.000
0.500 0.500 0.500
0.000 0.000 0.500
0.000 0.000 0.000
```

Properties
Its uncorrected formation energy is 0.668 eV per atom. Its energy relative to the lowest polymorph listed for this composition is 3.2 kJ per mole of atoms. For the total DFT energy (no corrections), the calculation gives -3.847 eV/atom.

=====

24.
The following is a PBE calculation of NiPSCl2 after structural relaxation, from Alexandria.

```
NiPSCl2
1.0
4.442 0.000 0.000
0.000 4.442 0.000
0.000 0.000 4.639
Cl P S Ni
2 1 1 1
Direct
0.500 0.000 0.000
0.000 0.500 0.000
0.500 0.500 0.500
0.000 0.000 0.500
0.000 0.000 0.000
```

Properties
Its uncorrected formation energy is 0.441 eV per atom. Its energy relative to the lowest polymorph listed for this composition is 0.0 kJ per mole of atoms. For the total DFT energy (no corrections), the calculation gives -3.361 eV/atom.

=====

25.
The following is a PBE calculation of NiPSCl2 after structural relaxation, from Alexandria.

```
NiPSCl2
1.0
-1.606 1.888 3.786
-4.012 0.604 -2.004
-1.512 -4.585 1.645
Cl S Ni P
2 1 1 1
Direct
0.000 0.500 0.000
0.500 0.000 0.000
0.000 0.000 0.000
0.500 0.500 0.500
0.000 0.000 0.500
```

Properties
Its uncorrected formation energy is 0.987 eV per atom. Its energy relative to the lowest polymorph listed for this composition is 52.6 kJ per mole of atoms. For the total DFT energy (no corrections), the calculation gives -2.816 eV/atom.

=====

26.
The following is a PBE calculation of NiP2SCl after structural relaxation, from Alexandria.

```
NiP2SCl
1.0
-4.256 -1.446 0.653
1.449 -2.779 3.288
-0.637 3.236 3.015
Cl P S Ni
1 2 1 1
Direct
0.000 0.000 0.500
0.000 0.500 0.000
0.500 0.000 0.000
0.000 0.000 0.000
0.500 0.500 0.500
```

Properties
Its uncorrected formation energy is 1.200 eV per atom. Its energy relative to the lowest polymorph listed for this composition is 54.6 kJ per mole of atoms. For the total DFT energy (no corrections), the calculation gives -3.315 eV/atom.

=====

27.
The following is a PBE calculation of NiP2SCl after structural relaxation, from Alexandria.

```
NiP2SCl
1.0
4.481 0.000 0.000
0.000 4.481 0.000
0.000 0.000 4.396
Cl P S Ni
1 2 1 1
Direct
0.000 0.000 0.500
0.000 0.500 0.000
0.500 0.000 0.000
0.500 0.500 0.500
0.000 0.000 0.000
```

Properties
Its uncorrected formation energy is 0.635 eV per atom. Its energy relative to the lowest polymorph listed for this composition is 0.0 kJ per mole of atoms. For the total DFT energy (no corrections), the calculation gives -3.880 eV/atom.